No. 1
Computed, not measured: a relaxed structure of PrTlPO at the PBE level of DFT.

abc: 5.9778 5.9778 4.9933
angles: 90.00 90.00 90.00
Sites, in units of the cell vectors:
Pr 0.2500 0.7500 0.0000
Pr 0.7500 0.2500 0.0000
Tl 0.2500 0.2500 0.4888
Tl 0.7500 0.7500 0.5112
P 0.2500 0.2500 0.9881
P 0.7500 0.7500 0.0119
O 0.2500 0.7500 0.5000
O 0.7500 0.2500 0.5000

Values from the calculation:
Space group ... P4/nmm
Volume ... 178.43 Å³/cell
Uncorrected energy ... -5.525 eV/atom
Energy above the lowest structure with this stoichiometry ... 173 meV/atom
Size of the total moment ... 0.00 Bohr magnetons per cell

***

No. 2
Computed, not measured: a relaxed structure of ScBe2Ir2 at the PBE level of DFT.

abc: 6.6433 6.6433 2.8803
angles: 90.00 90.00 90.00
Sites, in units of the cell vectors:
Sc 0.0000 0.0000 0.0000
Sc 0.5000 0.5000 0.0000
Be 0.1188 0.3812 0.0000
Be 0.3812 0.8812 0.0000
Be 0.6188 0.1188 0.0000
Be 0.8812 0.6188 0.0000
Ir 0.1698 0.6698 0.5000
Ir 0.3302 0.1698 0.5000
Ir 0.6698 0.8302 0.5000
Ir 0.8302 0.3302 0.5000

Values from the calculation:
Space group ... P4/mbm
Volume ... 127.12 Å³/cell
Uncorrected energy ... -7.045 eV/atom
Energy above the lowest structure with this stoichiometry ... 0 meV/atom
Size of the total moment ... 0.00 Bohr magnetons per cell

***

No. 3
Computed, not measured: a relaxed structure of TcNiHgSb at the PBE level of DFT.

abc: 6.4716 6.4716 6.4716
angles: 90.00 90.00 90.00
Sites, in units of the cell vectors:
Tc 0.0000 0.0000 0.0000
Tc 0.0000 0.5000 0.5000
Tc 0.5000 0.0000 0.5000
Tc 0.5000 0.5000 0.0000
Ni 0.0000 0.0000 0.5000
Ni 0.0000 0.5000 0.0000
Ni 0.5000 0.0000 0.0000
Ni 0.5000 0.5000 0.5000
Hg 0.2500 0.2500 0.7500
Hg 0.2500 0.7500 0.2500
Hg 0.7500 0.2500 0.2500
Hg 0.7500 0.7500 0.7500
Sb 0.2500 0.2500 0.2500
Sb 0.2500 0.7500 0.7500
Sb 0.7500 0.2500 0.7500
Sb 0.7500 0.7500 0.2500

Values from the calculation:
Space group ... F-43m
Volume ... 271.04 Å³/cell
Uncorrected energy ... -4.729 eV/atom
Energy above the lowest structure with this stoichiometry ... 0 meV/atom
Size of the total moment ... 0.03 Bohr magnetons per cell